[1]
# TbSm3Ag2 PBE-GGA optimized geometry
# Offset from the most stable computed form in meV per atom: 224
# M_tot in μB per cell: 0.000
# Energy relative to the elements in eV per atom: 0.06
# V in Å³ per atom: 31.899
data_TbSm3Ag2
_cell_length_a 7.107
_cell_length_b 14.178
_cell_length_c 7.598
_cell_angle_alpha 90.00
_cell_angle_beta 90.00
_cell_angle_gamma 90.00
_space_group_name_H-M_alt 'I b a m'
_space_group_IT_number 72
_space_group_name_Hall '-I 2 2c'
loop_
_atom_site_label
_atom_site_fract_x
_atom_site_fract_y
_atom_site_fract_z
Tb1 0.000 0.000 0.000
Sm1 0.000 0.226 0.250
Sm2 0.000 0.500 0.250
Ag1 0.197 0.359 0.000

=====

[2]
# KScTl2Cd PBE-GGA optimized geometry
# M_tot in μB per cell: 0.775
# Energy relative to the elements in eV per atom: 1.04
# V in Å³ per atom: 40.351
data_KScTl2Cd
_cell_length_a 5.925
_cell_length_b 5.925
_cell_length_c 5.747
_cell_angle_alpha 90.00
_cell_angle_beta 90.00
_cell_angle_gamma 90.00
_space_group_name_H-M_alt 'P 4/m m m'
_space_group_IT_number 123
_space_group_name_Hall '-P 4 2'
loop_
_atom_site_label
_atom_site_fract_x
_atom_site_fract_y
_atom_site_fract_z
K1 0.000 0.000 0.000
Sc1 0.000 0.000 0.500
Tl1 0.000 0.500 0.000
Cd1 0.500 0.500 0.500

=====

[3]
# Mg2Zr3Ag2 PBE-GGA optimized geometry
# M_tot in μB per cell: 0.000
# Energy relative to the elements in eV per atom: -0.07
# V in Å³ per atom: 21.646
data_Mg2Zr3Ag2
_cell_length_a 3.215
_cell_length_b 29.429
_cell_length_c 3.203
_cell_angle_alpha 90.00
_cell_angle_beta 90.00
_cell_angle_gamma 90.00
_space_group_name_H-M_alt 'C m m m'
_space_group_IT_number 65
_space_group_name_Hall '-C 2 2'
loop_
_atom_site_label
_atom_site_fract_x
_atom_site_fract_y
_atom_site_fract_z
Mg1 0.000 0.204 0.000
Zr1 0.000 0.075 0.000
Zr2 0.000 0.500 0.500
Ag1 0.000 0.355 0.500

=====

[4]
# Ta2CuSe PBE-GGA optimized geometry
# M_tot in μB per cell: 0.000
# Uncorrected formation energy in meV per atom: 93
# V in Å³ per atom: 16.168
data_Ta2CuSe
_cell_length_a 3.035
_cell_length_b 4.323
_cell_length_c 5.133
_cell_angle_alpha 90.00
_cell_angle_beta 106.19
_cell_angle_gamma 90.00
_space_group_name_H-M_alt 'P 1 m 1'
_space_group_IT_number 6
loop_
_space_group_symop_operation_xyz
'x,y,z'
'x,-y,z'
loop_
_atom_site_label
_atom_site_fract_x
_atom_site_fract_y
_atom_site_fract_z
Ta1 0.000 0.000 0.000
Ta2 0.301 0.500 0.659
Cu1 0.588 0.500 0.181
Se1 0.717 0.000 0.464

=====

[5]
# Nd3Zn3Hg PBE-GGA optimized geometry
# M_tot in μB per cell: 0.002
# Energy relative to the elements in eV per atom: -0.32
# V in Å³ per atom: 24.848
data_Nd3Zn3Hg
_cell_length_a 3.675
_cell_length_b 4.648
_cell_length_c 20.363
_cell_angle_alpha 90.00
_cell_angle_beta 90.00
_cell_angle_gamma 90.00
_space_group_name_H-M_alt 'I m m 2'
_space_group_IT_number 44
loop_
_space_group_symop_operation_xyz
'x,y,z'
'-x,-y,z'
'-x,y,z'
'x,-y,z'
'x+1/2,y+1/2,z+1/2'
'-x+1/2,-y+1/2,z+1/2'
'-x+1/2,y+1/2,z+1/2'
'x+1/2,-y+1/2,z+1/2'
loop_
_atom_site_label
_atom_site_fract_x
_atom_site_fract_y
_atom_site_fract_z
Nd1 0.000 0.000 0.000
Nd2 0.000 0.000 0.387
Nd3 0.000 0.500 0.187
Zn1 0.000 0.000 0.554
Zn2 0.000 0.000 0.835
Zn3 0.000 0.500 0.622
Hg1 0.000 0.500 0.757

=====

[6]
# Th2Al6Ru PBE-GGA optimized geometry
# M_tot in μB per cell: 0.000
# Energy relative to the elements in eV per atom: -0.44
# V in Å³ per atom: 19.953
data_Th2Al6Ru
_cell_length_a 6.0390
_cell_length_b 6.0390
_cell_length_c 5.6858
_cell_angle_alpha 90.00
_cell_angle_beta 90.00
_cell_angle_gamma 120.00
_space_group_name_H-M_alt 'P -3 m 1'
_space_group_IT_number 164
_space_group_name_Hall '-P 3 2"'
loop_
_atom_site_label
_atom_site_fract_x
_atom_site_fract_y
_atom_site_fract_z
Th1 0.3333 0.6667 0.1724
Al1 0.1719 0.3437 0.6858
Ru1 0.0000 0.0000 0.0000